(1)
Entry from the Alexandria database: Pm4Nd2SmMg after structural relaxation (PBE-GGA).

Cell lengths 6.8601, 11.8697, 13.3660 Å; angles 90.00, 90.00, 90.00 degrees
Last column: nearest neighbours and their distance in Å.
Space group Imma (No. 74)
Inequivalent atoms, fractional coordinates:
Pm1 0.0000 0.0138 0.2503  2 Mg 3.29, 1 Sm 3.34, 3 Nd 3.35-3.57, 2 Pm 3.43
Pm2 0.2497 0.2500 0.0136  1 Mg 3.16, 2 Pm 3.43, 3 Nd 3.43-3.52, 2 Sm 3.43
Nd1 0.0000 0.0000 0.0000  6 Pm 3.35-3.43, 2 Sm 3.43
Nd2 0.2500 0.2500 0.7500  2 Nd 3.43, 6 Pm 3.52-3.57
Sm1 0.0000 0.0000 0.5000  6 Pm 3.34-3.43, 2 Nd 3.43
Mg1 0.2500 0.2500 0.2500  6 Pm 3.16-3.29, 2 Mg 3.43

Computed properties:
- calculated formation energy (eV/atom) = 0.323
- calculated density (g/cm3) = 6.366
- raw total energy (eV per atom) = -4.03

(2)
Entry from the Alexandria database: Ac2I4O after structural relaxation (PBE-GGA).

Cell lengths 13.7446, 13.7446, 3.9486 Å; angles 90.00, 90.00, 90.00 degrees
Last column: nearest neighbours and their distance in Å.
Space group P4_2/mnm (No. 136)
Inequivalent atoms, fractional coordinates:
Ac1 0.0932 0.0932 0.0000  2 O 2.68
I1 0.0492 0.2763 0.5000  2 Ac 3.26
O1 0.0000 0.0000 0.5000  4 Ac 2.68

Computed properties:
- uncorrected formation energy (eV/atom) = -1.751
- calculated density (g/cm3) = 4.353
- raw total energy (eV per atom) = -4.52

(3)
Entry from the Alexandria database: BaZn2CuF after structural relaxation (PBE-GGA).

Cell lengths 6.5426, 6.5426, 4.7998 Å; angles 90.00, 90.00, 90.00 degrees
Last column: nearest neighbours and their distance in Å.
Space group P4/mmm (No. 123)
Inequivalent atoms, fractional coordinates:
Ba1 0.0000 0.0000 0.0000  2 F 2.40
Zn1 0.0000 0.5000 0.0000  2 Ba 3.27
Cu1 0.5000 0.5000 0.5000  8 Zn 4.06
F1 0.0000 0.0000 0.5000  2 Ba 2.40

Computed properties:
- uncorrected formation energy (eV/atom) = -0.188
- calculated density (g/cm3) = 2.834
- raw total energy (eV per atom) = -2.28

Which formula does entry 3 have?
BaZn2CuF

What is the formula in the second record?
Ac2I4O